--- 1 ---
First-principles (PBE-GGA) data for a relaxed ScGaAg3 crystal, as listed in Alexandria.

Crystal system ... cubic
D(E_F) ... 3.29 states/eV/cell

a = 4.8060 Å, b = 4.8060 Å, c = 4.8060 Å
α = 90.00°, β = 90.00°, γ = 90.00°
Closest atoms and distances in Å follow each position.
Sites, in units of the cell vectors:
Sc  0.0000  0.0000  0.0000  12 Ag 3.40
Ga  0.5000  0.5000  0.5000  6 Ag 2.40
Ag  0.0000  0.5000  0.5000  2 Ga 2.40
Ag  0.5000  0.0000  0.5000  2 Ga 2.40
Ag  0.5000  0.5000  0.0000  2 Ga 2.40

--- 2 ---
First-principles (PBE-GGA) data for a relaxed ScGaAg3 crystal, as listed in Alexandria.

Crystal system ... cubic
D(E_F) ... 2.66 states/eV/cell

a = 5.2488 Å, b = 5.2488 Å, c = 5.2488 Å
α = 90.00°, β = 90.00°, γ = 90.00°
Closest atoms and distances in Å follow each position.
Sites, in units of the cell vectors:
Sc  0.0000  0.0000  0.0000  6 Ag 2.62
Ga  0.5000  0.5000  0.5000  12 Ag 3.71
Ag  0.0000  0.0000  0.5000  2 Sc 2.62
Ag  0.0000  0.5000  0.0000  2 Sc 2.62
Ag  0.5000  0.0000  0.0000  2 Sc 2.62

Which of them is least stable? Easy: 2.

--- 1 ---
First-principles (PBE-GGA) data for a relaxed FeAgAs2 crystal, as listed in Alexandria.

Crystal system ... tetragonal
D(E_F) ... 3.56 states/eV/cell

a = 5.3169 Å, b = 5.3169 Å, c = 5.3169 Å
α = 137.56°, β = 137.56°, γ = 61.58°
Closest atoms and distances in Å follow each position.
Sites, in units of the cell vectors:
Fe  0.0000  0.0000  0.0000  8 As 2.72-2.99, 4 Ag 2.99
Ag  0.2500  0.7500  0.5000  8 As 2.72-2.99, 4 Fe 2.99
As  0.5000  0.5000  0.0000  4 Fe 2.72, 4 As 2.99, 4 Ag 2.99
As  0.7500  0.2500  0.5000  4 Ag 2.72, 4 As 2.99, 4 Fe 2.99

--- 2 ---
First-principles (PBE-GGA) data for a relaxed FeAgAs2 crystal, as listed in Alexandria.

Crystal system ... tetragonal
D(E_F) ... 1.55 states/eV/cell

a = 2.9383 Å, b = 2.9383 Å, c = 7.5902 Å
α = 90.00°, β = 90.00°, γ = 90.00°
Closest atoms and distances in Å follow each position.
Sites, in units of the cell vectors:
Fe  0.0000  0.0000  0.0000  8 As 2.54
Ag  0.0000  0.0000  0.5000  4 Ag 2.94, 8 As 3.13
As  0.5000  0.5000  0.1920  4 Fe 2.54
As  0.5000  0.5000  0.8080  4 Fe 2.54

Which of them is least stable? Easy: 1.

--- 1 ---
First-principles (PBE-GGA) data for a relaxed MnP3 crystal, as listed in Alexandria.

Crystal system ... tetragonal
D(E_F) ... 4.51 states/eV/cell

a = 11.1920 Å, b = 11.1920 Å, c = 11.1920 Å
α = 163.02°, β = 163.02°, γ = 24.10°
Closest atoms and distances in Å follow each position.
Sites, in units of the cell vectors:
Mn  0.1631  0.1631  0.0000  8 P 2.52-2.55
Mn  0.8369  0.8369  0.0000  8 P 2.52-2.55
P  0.0000  0.5000  0.5000  4 P 2.34
P  0.2500  0.7500  0.5000  4 P 2.34, 4 Mn 2.52
P  0.3834  0.3834  0.0000  4 Mn 2.55
P  0.5000  0.0000  0.5000  4 P 2.34
P  0.6166  0.6166  0.0000  4 Mn 2.55
P  0.7500  0.2500  0.5000  4 P 2.34, 4 Mn 2.52

--- 2 ---
First-principles (PBE-GGA) data for a relaxed MnP3 crystal, as listed in Alexandria.

Crystal system ... cubic
D(E_F) ... 3.10 states/eV/cell

a = 4.4036 Å, b = 4.4036 Å, c = 4.4036 Å
α = 90.00°, β = 90.00°, γ = 90.00°
Closest atoms and distances in Å follow each position.
Sites, in units of the cell vectors:
Mn  0.0000  0.0000  0.0000  6 P 2.20
P  0.0000  0.0000  0.5000  2 Mn 2.20
P  0.0000  0.5000  0.0000  2 Mn 2.20
P  0.5000  0.0000  0.0000  2 Mn 2.20

Which of them is least stable? Easy: 2.

--- 1 ---
First-principles (PBE-GGA) data for a relaxed Sr2LaP crystal, as listed in Alexandria.

Crystal system ... trigonal
D(E_F) ... 3.97 states/eV/cell

a = 11.0176 Å, b = 11.0176 Å, c = 11.0176 Å
α = 22.12°, β = 22.12°, γ = 22.12°
Closest atoms and distances in Å follow each position.
Sites, in units of the cell vectors:
Sr  0.2179  0.2179  0.2179  3 P 2.95
Sr  0.7821  0.7821  0.7821  3 P 2.95
La  0.0000  0.0000  0.0000  6 La 4.23, 6 Sr 4.45
P  0.5000  0.5000  0.5000  6 Sr 2.95

--- 2 ---
First-principles (PBE-GGA) data for a relaxed Sr2LaP crystal, as listed in Alexandria.

Crystal system ... monoclinic
D(E_F) ... 3.07 states/eV/cell

a = 6.6217 Å, b = 6.6217 Å, c = 3.8770 Å
α = 102.66°, β = 102.66°, γ = 120.17°
Closest atoms and distances in Å follow each position.
Sites, in units of the cell vectors:
Sr  0.0000  0.5000  0.0000  2 Sr 3.30, 2 La 3.45, 2 P 3.45
Sr  0.5000  0.0000  0.0000  2 Sr 3.30, 2 La 3.45, 2 P 3.45
La  0.0000  0.0000  0.5000  2 P 3.30, 4 Sr 3.45
P  0.5000  0.5000  0.5000  2 La 3.30, 4 Sr 3.45

Which of them is least stable? Easy: 2.

--- 1 ---
First-principles (PBE-GGA) data for a relaxed KOsPb2 crystal, as listed in Alexandria.

Crystal system ... cubic
D(E_F) ... 2.67 states/eV/cell

a = 5.0878 Å, b = 5.0878 Å, c = 5.0878 Å
α = 60.00°, β = 60.00°, γ = 60.00°
Closest atoms and distances in Å follow each position.
Sites, in units of the cell vectors:
K  0.0000  0.0000  0.0000  8 Pb 3.12
Os  0.5000  0.5000  0.5000  8 Pb 3.12
Pb  0.2500  0.2500  0.2500  4 K 3.12, 4 Os 3.12
Pb  0.7500  0.7500  0.7500  4 K 3.12, 4 Os 3.12

--- 2 ---
First-principles (PBE-GGA) data for a relaxed KOsPb2 crystal, as listed in Alexandria.

Crystal system ... orthorhombic
D(E_F) ... 3.78 states/eV/cell

a = 3.9333 Å, b = 4.7091 Å, c = 5.4127 Å
α = 90.00°, β = 90.00°, γ = 90.00°
Closest atoms and distances in Å follow each position.
Sites, in units of the cell vectors:
K  0.0000  0.0000  0.0000  4 Pb 3.07, 4 Os 3.35
Os  0.5000  0.0000  0.5000  4 Pb 3.07, 4 K 3.35
Pb  0.0000  0.5000  0.5000  4 Os 3.07, 4 Pb 3.35
Pb  0.5000  0.5000  0.0000  4 K 3.07, 4 Pb 3.35

Which of them is least stable? Easy: 2.